(1)
# Ba2YBe

A relaxed Ba2YBe crystal (PBE, Alexandria).

The total energy comes out at -3.04 eV per atom. Its formation energy is 1.87 eV per formula unit.

abc: 3.9222 3.9222 9.7478
angles: 90.00 90.00 90.00
Element x y z (fractional)
Ba1 0.0000 0.0000 0.1956
Ba2 0.0000 0.0000 0.8044
Y1 0.5000 0.5000 0.5000
Be1 0.5000 0.5000 0.0000


(2)
# BaYBe3

A relaxed BaYBe3 crystal (PBE, Alexandria).

The total energy comes out at -2.78 eV per atom. For the distance to the lowest polymorph of the same formula, the calculation gives 0 meV/atom. Its formation energy is 5.68 eV per formula unit.

abc: 5.2492 5.2492 5.2492
angles: 90.00 90.00 90.00
Element x y z (fractional)
Ba1 0.0000 0.0000 0.0000
Y1 0.5000 0.5000 0.5000
Be1 0.0000 0.5000 0.5000
Be2 0.5000 0.0000 0.5000
Be3 0.5000 0.5000 0.0000


(3)
# Ba2YBe

A relaxed Ba2YBe crystal (PBE, Alexandria).

The total energy comes out at -2.92 eV per atom. Its formation energy is 2.37 eV per formula unit.

abc: 5.9041 5.9041 4.2437
angles: 90.00 90.00 90.00
Element x y z (fractional)
Ba1 0.0000 0.5000 0.0000
Ba2 0.5000 0.0000 0.0000
Y1 0.0000 0.0000 0.5000
Be1 0.5000 0.5000 0.5000


(4)
# BaYBe2

A relaxed BaYBe2 crystal (PBE, Alexandria).

The total energy comes out at -3.42 eV per atom. For the distance to the lowest polymorph of the same formula, the calculation gives 297 meV/atom. Its formation energy is 2.16 eV per formula unit.

abc: 3.2960 3.2960 8.6956
angles: 90.00 90.00 90.00
Element x y z (fractional)
Ba1 0.0000 0.0000 0.0000
Y1 0.5000 0.5000 0.6041
Be1 0.0000 0.0000 0.3856
Be2 0.5000 0.5000 0.2853


(5)
# Ba2YBe

A relaxed Ba2YBe crystal (PBE, Alexandria).

The total energy comes out at -2.92 eV per atom. Its formation energy is 2.36 eV per formula unit.

abc: 10.9900 10.9900 5.5889
angles: 90.00 90.00 90.00
Element x y z (fractional)
Ba1 0.1268 0.2500 0.1250
Ba2 0.2500 0.6268 0.3750
Ba3 0.2500 0.8732 0.8750
Ba4 0.3732 0.2500 0.6250
Ba5 0.6268 0.7500 0.6250
Ba6 0.7500 0.1268 0.8750
Ba7 0.7500 0.3732 0.3750
Ba8 0.8732 0.7500 0.1250
Y1 0.0000 0.0000 0.5000
Y2 0.0000 0.5000 0.7500
Y3 0.5000 0.0000 0.2500
Y4 0.5000 0.5000 0.0000
Be1 0.0000 0.0000 0.0000
Be2 0.0000 0.5000 0.2500
Be3 0.5000 0.0000 0.7500
Be4 0.5000 0.5000 0.5000


(6)
# BaYBe2

A relaxed BaYBe2 crystal (PBE, Alexandria).

The total energy comes out at -3.19 eV per atom. For the distance to the lowest polymorph of the same formula, the calculation gives 526 meV/atom. Its formation energy is 3.08 eV per formula unit.

abc: 4.3307 4.3307 10.1603
angles: 90.00 90.00 90.00
Element x y z (fractional)
Ba1 0.0000 0.0000 0.0000
Ba2 0.5000 0.5000 0.5000
Y1 0.0000 0.5000 0.2500
Y2 0.5000 0.0000 0.7500
Be1 0.0000 0.0000 0.5000
Be2 0.0000 0.5000 0.7500
Be3 0.5000 0.0000 0.2500
Be4 0.5000 0.5000 0.0000


What is the total energy in the third record? -2.92 eV per atom


Which formula does entry 5 have? Ba2YBe


Which of these has the lowest total energy? number 4